DFT (PBE) results for crystalline Sm2Ho5Sc12 at its relaxed geometry.

Cell lengths 14.9677, 8.6276, 8.1222 Å; angles 90.00, 92.38, 90.00 degrees
Closest atoms and distances in Å follow each position.
Space group C2/m (No. 12)
Unique sites:
1 Sm 0.0000 0.1904 0.0000 (multiplicity 4)  8 Sc 3.16-3.47, 1 Sm 3.29, 2 Ho 3.45
2 Ho 0.0000 0.5000 0.5000 (multiplicity 2)  10 Sc 3.32-3.49, 2 Ho 3.57
3 Ho 0.2029 0.0000 0.0045 (multiplicity 4)  8 Sc 3.20-3.57, 2 Sm 3.45, 1 Ho 3.47
4 Ho 0.2362 0.5000 0.5791 (multiplicity 4)  10 Sc 3.21-3.49, 2 Ho 3.47-3.57
5 Sc 0.0521 0.0000 0.3333 (multiplicity 4)  7 Sc 3.15-3.25, 1 Ho 3.22, 2 Sm 3.23
6 Sc 0.0898 0.5000 0.8805 (multiplicity 4)  2 Sm 3.16, 3 Ho 3.20-3.35, 5 Sc 3.32-3.47
7 Sc 0.1273 0.1896 0.6528 (multiplicity 8)  6 Sc 3.15-3.50, 4 Ho 3.21-3.49, 1 Sm 3.47
8 Sc 0.1538 0.3217 0.2502 (multiplicity 8)  3 Sc 3.08-3.34, 1 Sm 3.21, 2 Ho 3.28-3.41

Raw total energy   -0.4088 Ry per atom
N(E_F)   1.579 states/eV per atom